Record 1
UPaSN2 PBE optimized geometry; uncorrected energy = -9.85 eV per atom; magnetic moment = 2.95 μB per formula unit; SG = I4mm (107); raw formation energy = -1.534 eV per atom
1.0
-2.097 -2.920 1.202
2.988 -1.368 1.890
-2.056 5.287 3.276
S N Pa U
1 2 1 1
direct
0.498 0.498 0.996 S
0.751 0.251 0.502 N
0.251 0.751 0.502 N
0.851 0.851 0.703 Pa
0.148 0.148 0.297 U

Record 2
ScTlPtRh PBE optimized geometry; uncorrected energy = -6.12 eV per atom; energy relative to the elements = -0.595 eV per atom; magnetic moment = 0.00 μB per formula unit; SG = F-43m (216)
1.0
4.657 0.000 0.000
2.328 4.033 0.000
2.328 1.344 3.802
Pt Sc Rh Tl
1 1 1 1
direct
0.750 0.750 0.750 Pt
0.000 0.000 0.000 Sc
0.250 0.250 0.250 Rh
0.500 0.500 0.500 Tl

Record 3
Ba2LaTa PBE optimized geometry; uncorrected energy = -4.36 eV per atom; energy relative to the elements = 0.792 eV per atom; magnetic moment = 0.00 μB per formula unit; SG = Imm2 (44)
1.0
7.018 -0.034 -0.015
2.953 6.366 0.015
-4.342 -4.181 3.595
Ba La Ta
2 1 1
direct
0.034 0.034 0.000 Ba
0.739 0.239 0.500 Ba
0.427 0.427 0.000 La
0.299 0.799 0.500 Ta